# 1
Material: Mg2SbHIr
Method: DFT, PBE-GGA
State: relaxed

```
Mg2SbHIr
1.0
-0.2758 -3.0367 -3.2179
3.8721 1.3943 -1.6477
1.8765 -2.5535 2.2489
Sb Mg Ir H
1 2 1 1
Direct
0.5000 0.5000 0.5000
0.0000 0.5000 0.0000
0.5000 0.0000 0.0000
0.0000 0.0000 0.5000
0.0000 0.0000 0.0000
```

## Properties
D(E_F): 1.534 states/eV per cell
SG: P4/mmm (123)
Final energy: -4.08 eV/atom

=====

# 2
Material: MgSiH2Ir
Method: DFT, PBE-GGA
State: relaxed

```
MgSiH2Ir
1.0
3.4166 0.0000 0.0000
0.0000 6.1527 0.0000
0.0000 0.0000 3.4166
H Si Ir Mg
2 1 1 1
Direct
0.0000 0.0000 0.5000
0.5000 0.0000 0.0000
0.5000 0.5000 0.5000
0.0000 0.5000 0.0000
0.0000 0.0000 0.0000
```

## Properties
D(E_F): 2.166 states/eV per cell
SG: P4/mmm (123)
Final energy: -4.22 eV/atom

=====

# 3
Material: MgSnH6Ir2
Method: DFT, PBE-GGA
State: relaxed

```
MgSnH6Ir2
1.0
-6.8915 -0.6210 2.2412
4.8643 -5.1768 1.5624
1.4091 3.1424 3.3133
Mg Sn H Ir
2 2 12 4
Direct
0.7221 0.2779 0.2500
0.2779 0.7221 0.7500
0.1004 0.8996 0.2500
0.8996 0.1004 0.7500
0.0526 0.4341 0.1845
0.5659 0.9474 0.3155
0.9474 0.5659 0.8155
0.4341 0.0526 0.6845
0.3056 0.3333 0.1336
0.6667 0.6944 0.3664
0.6944 0.6667 0.8664
0.3333 0.3056 0.6336
0.3440 0.5474 0.4741
0.4526 0.6560 0.0259
0.6560 0.4526 0.5259
0.5474 0.3440 0.9741
0.3017 0.1288 0.8717
0.8712 0.6983 0.6283
0.6983 0.8712 0.1283
0.1288 0.3017 0.3717
```

## Properties
D(E_F): 1.784 states/eV per cell
SG: C2/c (15)
Final energy: -4.44 eV/atom

=====

# 4
Material: MgSnH8Ir2
Method: DFT, PBE-GGA
State: relaxed

```
MgSnH8Ir2
1.0
-3.8087 0.0872 1.6568
-3.2212 -1.5526 -2.1148
-1.1249 -7.3210 3.0077
Mg Sn H Ir
1 1 8 2
Direct
0.0000 0.0000 0.0000
0.5000 0.5000 0.5000
0.1760 0.1760 0.4720
0.4686 0.4637 0.1251
0.8240 0.8240 0.5280
0.9426 0.4686 0.1251
0.0574 0.5314 0.8749
0.4637 0.9426 0.1251
0.5363 0.0574 0.8749
0.5314 0.5363 0.8749
0.2482 0.2482 0.2555
0.7518 0.7518 0.7445
```

## Properties
D(E_F): 3.568 states/eV per cell
SG: R-3 (148)
Final energy: -4.02 eV/atom

=====

# 5
Material: Mg2SnHIr
Method: DFT, PBE-GGA
State: relaxed

```
Mg2SnHIr
1.0
-3.9959 1.3981 -0.9525
-1.4116 -1.4091 3.8537
0.8489 3.5132 1.5955
H Mg Ir Sn
1 2 1 1
Direct
0.0000 0.0000 0.0000
0.0000 0.5000 0.0000
0.5000 0.0000 0.0000
0.0000 0.0000 0.5000
0.5000 0.5000 0.5000
```

## Properties
D(E_F): 1.478 states/eV per cell
SG: P4/mmm (123)
Final energy: -4.05 eV/atom

=====

# 6
Material: TbMgH8Ir2
Method: DFT, PBE-GGA
State: relaxed

```
TbMgH8Ir2
1.0
-3.8967 2.5842 -0.4066
-4.1641 -2.1000 -0.5268
-3.3165 0.0592 5.0729
Tb Mg H Ir
1 1 8 2
Direct
0.5000 0.5000 0.5000
0.0000 0.0000 0.0000
0.1810 0.1810 0.4570
0.6082 0.0552 0.2818
0.8190 0.8190 0.5430
0.0548 0.6082 0.2818
0.9452 0.3918 0.7182
0.0552 0.0548 0.2818
0.9448 0.9452 0.7182
0.3918 0.9448 0.7182
0.2811 0.2811 0.1566
0.7189 0.7189 0.8434
```

## Properties
D(E_F): 1.874 states/eV per cell
SG: R-3m (166)
Final energy: -4.44 eV/atom